# 1
CdBr PBE-GGA relaxed; space-group type = No. 59; raw formation energy = -1.0 eV/f.u.
1.0
4.395 0.000 0.000
0.000 5.964 0.000
0.000 0.000 15.582
Br Cd
6 6
direct
0.000 0.033 0.358
0.000 0.473 0.000
0.500 0.967 0.858
0.000 0.033 0.642
0.500 0.527 0.500
0.500 0.967 0.142
0.500 0.355 0.735
0.500 0.211 0.000
0.000 0.789 0.500
0.000 0.645 0.765
0.500 0.355 0.265
0.000 0.645 0.235

# 2
Ce5GeRu4 PBE-GGA relaxed; space-group type = No. 59; VASP energy = -7.423 eV/atom
1.0
-5.997 -0.171 4.672
-4.598 -1.887 -5.971
1.298 -7.558 1.389
Ru Ge Ce
8 2 10
direct
0.005 0.000 0.328
0.499 0.320 0.500
0.995 0.500 0.828
0.501 0.180 0.000
0.499 0.680 0.500
0.995 0.500 0.172
0.501 0.820 0.000
0.005 0.000 0.672
0.998 0.000 0.000
0.002 0.500 0.500
0.232 0.749 0.249
0.232 0.749 0.751
0.504 0.500 0.000
0.768 0.249 0.251
0.232 0.251 0.751
0.768 0.751 0.749
0.496 0.000 0.500
0.768 0.249 0.749
0.232 0.251 0.249
0.768 0.751 0.251

# 3
Y2HfCdSi PBE-GGA relaxed; space-group type = No. 123; raw formation energy = -0.1 eV/f.u.
1.0
-4.636 -0.482 2.624
-2.413 -0.416 -4.340
0.639 -5.308 0.154
Hf Cd Si Y
1 1 1 2
direct
0.000 0.500 0.000
0.500 0.500 0.500
0.000 0.000 0.000
0.000 0.000 0.500
0.500 0.000 0.000

# 4
Pm9Y4Zn11 PBE-GGA relaxed; space-group type = No. 65; VASP energy = -3.681 eV/atom
1.0
-3.173 -0.349 1.485
2.608 -12.851 2.549
4.036 7.401 10.362
Zn Pm Y
11 9 4
direct
0.000 0.631 0.369
0.000 0.235 0.235
0.000 0.765 0.765
0.000 0.000 0.000
0.000 0.369 0.631
0.000 0.943 0.583
0.000 0.417 0.057
0.000 0.583 0.943
0.000 0.172 0.828
0.000 0.828 0.172
0.000 0.057 0.417
0.500 0.855 0.375
0.500 0.145 0.625
0.500 0.794 0.971
0.500 0.625 0.145
0.500 0.029 0.206
0.500 0.500 0.500
0.500 0.206 0.029
0.500 0.971 0.794
0.500 0.375 0.855
0.500 0.752 0.573
0.500 0.573 0.752
0.500 0.427 0.248
0.500 0.248 0.427

# 5
TeIBr2Cl PBE-GGA relaxed; space-group type = No. 123; raw formation energy = 2.4 eV/f.u.
1.0
-2.404 -1.926 -4.039
-3.317 -3.835 3.802
-3.600 3.556 0.446
I Cl Te Br
1 1 1 2
direct
0.500 0.500 0.500
0.000 0.000 0.000
0.000 0.500 0.000
0.500 0.000 0.000
0.000 0.000 0.500

# 6
ReIN2 PBE-GGA relaxed; space-group type = No. 227; energy above the most stable polymorph in this dataset = 0 meV/atom; raw formation energy = 1.1 eV/f.u.
1.0
-5.935 -0.189 -0.987
-0.717 -3.351 4.949
-3.824 1.764 4.301
N I Re
4 2 2
direct
0.875 0.125 0.750
0.875 0.125 0.250
0.375 0.125 0.750
0.875 0.625 0.250
0.500 0.500 0.000
0.250 0.750 0.500
0.000 0.000 0.000
0.750 0.250 0.500

# 7
PmDyHoGa PBE-GGA relaxed; space-group type = No. 216; VASP energy = -4.276 eV/atom
1.0
5.345 0.000 0.000
2.672 4.629 0.000
2.672 1.543 4.364
Ga Pm Dy Ho
1 1 1 1
direct
0.250 0.250 0.250
0.750 0.750 0.750
0.500 0.500 0.500
0.000 0.000 0.000

# 8
Ac4InHg PBE-GGA relaxed; space-group type = No. 123; energy above the most stable polymorph in this dataset = 148 meV/atom
1.0
-0.995 -3.780 -4.009
4.465 1.835 -2.839
4.591 -5.258 3.814
Ac Hg In
4 1 1
direct
0.001 0.497 0.743
0.501 0.997 0.253
0.501 0.998 0.743
0.001 0.497 0.253
0.001 0.997 0.498
0.501 0.497 0.998

# 9
Cs2Tl2I7 PBE-GGA relaxed; space-group type = No. 14; raw formation energy = -8.3 eV/f.u.
1.0
19.357 0.000 0.000
0.000 6.903 0.377
0.000 1.738 10.187
Tl Cs I
4 4 14
direct
0.619 0.192 0.113
0.119 0.808 0.387
0.881 0.192 0.613
0.381 0.808 0.887
0.870 0.680 0.045
0.370 0.320 0.455
0.630 0.680 0.545
0.130 0.320 0.955
0.323 0.467 0.072
0.677 0.533 0.928
0.500 0.000 0.000
0.230 0.084 0.270
0.000 0.000 0.500
0.436 0.738 0.631
0.270 0.084 0.770
0.730 0.916 0.230
0.177 0.467 0.572
0.564 0.262 0.369
0.936 0.262 0.869
0.823 0.533 0.428
0.770 0.916 0.730
0.064 0.738 0.131

# 10
LaPm2ThN4 PBE-GGA relaxed; space-group type = No. 10; raw formation energy = -11.8 eV/f.u.
1.0
-2.065 0.933 -2.879
-2.614 -5.780 0.003
-3.405 3.846 3.689
La Pm Th N
1 2 1 4
direct
0.500 0.500 0.000
0.500 0.000 0.500
0.000 0.500 0.500
0.000 0.000 0.000
0.500 0.239 0.245
0.000 0.761 0.249
0.000 0.239 0.751
0.500 0.761 0.755